First-principles (PBE) data for a relaxed Li2TlAu crystal, as listed in the Open Quantum Materials Database.

As for the total energy: -2.65 eV/atom. The calculation puts the energy above the most stable polymorph in this dataset at 0.109 eV per atom. Its crystal system is hexagonal. The volume comes out at 143.6 Å³ per cell.

The structure belongs to space group P6_3/mmc (No. 194); the cell edges are 4.6214, 4.6214 and 7.7627 Å and the angles 90.00°, 90.00° and 120.00°. Symmetry generates all atoms from Li at (0.3333, 0.6667, 0.0916), Tl at (0.0000, 0.0000, 0.0000) and Au at (0.3333, 0.6667, 0.7500).

=====

First-principles (PBE) data for a relaxed Li2TlAu crystal, as listed in the Open Quantum Materials Database.

As for the total energy: -2.76 eV/atom. The calculation puts the energy above the most stable polymorph in this dataset at 0.000 eV per atom. Its crystal system is tetragonal. The volume comes out at 70.9 Å³ per cell.

The structure belongs to space group P4/mmm (No. 123); the cell edges are 3.286, 3.286 and 6.567 Å and the angles 90.00°, 90.00° and 90.00°. Symmetry generates all atoms from Li at (0.000, 0.000, 0.212), Tl at (0.500, 0.500, 0.500) and Au at (0.500, 0.500, 0.000).

=====

First-principles (PBE) data for a relaxed Li2TlAu crystal, as listed in the Open Quantum Materials Database.

As for the total energy: -2.70 eV/atom. The calculation puts the energy above the most stable polymorph in this dataset at 0.059 eV per atom. Its crystal system is orthorhombic. The volume comes out at 311.1 Å³ per cell.

The structure belongs to space group Pnma (No. 62); the cell edges are 8.024, 7.312 and 5.303 Å and the angles 90.00°, 90.00° and 90.00°. Symmetry generates all atoms from Li at (0.172, 0.057, 0.116), Tl at (0.039, 0.250, 0.606) and Au at (0.115, 0.750, 0.888).

=====

First-principles (PBE) data for a relaxed Li4TlZnAu2 crystal, as listed in the Open Quantum Materials Database.

As for the total energy: -2.63 eV/atom. Its crystal system is tetragonal. The volume comes out at 131.4 Å³ per cell.

The structure belongs to space group P-4m2 (No. 115); the cell edges are 4.483, 4.483 and 6.538 Å and the angles 90.00°, 90.00° and 90.00°. Symmetry generates all atoms from Li at (0.000, 0.000, 0.000), Li at (0.000, 0.500, 0.725), Li at (0.500, 0.500, 0.500), Tl at (0.500, 0.500, 0.000), Zn at (0.000, 0.000, 0.500) and Au at (0.000, 0.500, 0.281).

=====

First-principles (PBE) data for a relaxed Li4Tl2ZnAu crystal, as listed in the Open Quantum Materials Database.

As for the total energy: -2.40 eV/atom. Its crystal system is tetragonal. The volume comes out at 140.4 Å³ per cell.

The structure belongs to space group P-4m2 (No. 115); the cell edges are 4.624, 4.624 and 6.566 Å and the angles 90.00°, 90.00° and 90.00°. Symmetry generates all atoms from Li at (0.000, 0.000, 0.000), Li at (0.000, 0.500, 0.244), Li at (0.500, 0.500, 0.500), Tl at (0.000, 0.500, 0.740), Zn at (0.000, 0.000, 0.500) and Au at (0.500, 0.500, 0.000).

=====

First-principles (PBE) data for a relaxed LiW2Au crystal, as listed in the Open Quantum Materials Database.

As for the total energy: -7.34 eV/atom. Its crystal system is cubic. The volume comes out at 251.2 Å³ per cell.

The structure belongs to space group F-43m (No. 216); the cell edges are 6.310, 6.310 and 6.310 Å and the angles 90.00°, 90.00° and 90.00°. Symmetry generates all atoms from Li at (0.000, 0.000, 0.000), W at (0.000, 0.000, 0.500), W at (0.250, 0.250, 0.750) and Au at (0.250, 0.250, 0.250).

=====

First-principles (PBE) data for a relaxed Li2YAu crystal, as listed in the Open Quantum Materials Database.

As for the total energy: -3.75 eV/atom. Its crystal system is cubic. The volume comes out at 314.5 Å³ per cell.

The structure belongs to space group F-43m (No. 216); the cell edges are 6.800, 6.800 and 6.800 Å and the angles 90.00°, 90.00° and 90.00°. Symmetry generates all atoms from Li at (0.000, 0.000, 0.000), Li at (0.250, 0.250, 0.250), Y at (0.000, 0.000, 0.500) and Au at (0.250, 0.250, 0.750).

=====

First-principles (PBE) data for a relaxed Li2YAu crystal, as listed in the Open Quantum Materials Database.

As for the total energy: -3.75 eV/atom. Its crystal system is cubic. The volume comes out at 314.5 Å³ per cell.

The structure belongs to space group F-43m (No. 216); the cell edges are 6.800, 6.800 and 6.800 Å and the angles 90.00°, 90.00° and 90.00°. Symmetry generates all atoms from Li at (0.000, 0.000, 0.000), Li at (0.250, 0.250, 0.250), Y at (0.000, 0.000, 0.500) and Au at (0.250, 0.250, 0.750).

=====

First-principles (PBE) data for a relaxed LiY2Au crystal, as listed in the Open Quantum Materials Database.

As for the total energy: -4.72 eV/atom. Its crystal system is cubic. The volume comes out at 347.2 Å³ per cell.

The structure belongs to space group F-43m (No. 216); the cell edges are 7.029, 7.029 and 7.029 Å and the angles 90.00°, 90.00° and 90.00°. Symmetry generates all atoms from Li at (0.000, 0.000, 0.000), Y at (0.000, 0.000, 0.500), Y at (0.250, 0.250, 0.750) and Au at (0.250, 0.250, 0.250).

=====

First-principles (PBE) data for a relaxed Li3Zn4Au2 crystal, as listed in the Open Quantum Materials Database.

As for the total energy: -2.30 eV/atom. Its crystal system is monoclinic. The volume comes out at 266.8 Å³ per cell.

The structure belongs to space group C2/m (No. 12); the cell edges are 7.706, 4.300 and 8.061 Å and the angles 90.00°, 92.63° and 90.00°. Symmetry generates all atoms from Li at (0.000, 0.000, 0.000), Li at (0.169, 0.500, 0.559), Zn at (0.002, 0.000, 0.662), Zn at (0.168, 0.500, 0.887) and Au at (0.164, 0.500, 0.223).

=====

First-principles (PBE) data for a relaxed LiZnAu crystal, as listed in the Open Quantum Materials Database.

As for the total energy: -2.56 eV/atom. The calculation puts the energy above the most stable polymorph in this dataset at 0.000 eV per atom. Its crystal system is trigonal. The volume comes out at 91.3 Å³ per cell.

The structure belongs to space group P3m1 (No. 156); the cell edges are 4.3912, 4.3912 and 5.4677 Å and the angles 90.00°, 90.00° and 120.00°. Symmetry generates all atoms from Li at (0.0000, 0.0000, 0.0000), Li at (0.3333, 0.6667, 0.1769), Zn at (0.0000, 0.0000, 0.4986), Zn at (0.6667, 0.3333, 0.8349), Au at (0.3333, 0.6667, 0.6873) and Au at (0.6667, 0.3333, 0.3154).

=====

First-principles (PBE) data for a relaxed LiZnAu2 crystal, as listed in the Open Quantum Materials Database.

As for the total energy: -2.85 eV/atom. Its crystal system is tetragonal. The volume comes out at 62.2 Å³ per cell.

The structure belongs to space group P4/mmm (No. 123); the cell edges are 4.258, 4.258 and 3.432 Å and the angles 90.00°, 90.00° and 90.00°. Symmetry generates all atoms from Li at (0.000, 0.000, 0.000), Zn at (0.500, 0.500, 0.000) and Au at (0.000, 0.500, 0.500).

=====

First-principles (PBE) data for a relaxed LiZnAu2 crystal, as listed in the Open Quantum Materials Database.

As for the total energy: -2.82 eV/atom. Its crystal system is tetragonal. The volume comes out at 62.8 Å³ per cell.

The structure belongs to space group P4/mmm (No. 123); the cell edges are 3.227, 3.227 and 6.026 Å and the angles 90.00°, 90.00° and 90.00°. Symmetry generates all atoms from Li at (0.000, 0.000, 0.000), Zn at (0.000, 0.000, 0.500) and Au at (0.500, 0.500, 0.245).

=====

First-principles (PBE) data for a relaxed Li3Zn2Au2 crystal, as listed in the Open Quantum Materials Database.

As for the total energy: -2.55 eV/atom. Its crystal system is monoclinic. The volume comes out at 209.9 Å³ per cell.

The structure belongs to space group C2/m (No. 12); the cell edges are 8.357, 4.001 and 6.401 Å and the angles 90.00°, 101.35° and 90.00°. Symmetry generates all atoms from Li at (0.000, 0.000, 0.000), Li at (0.141, 0.000, 0.436), Zn at (0.214, 0.500, 0.143) and Au at (0.074, 0.500, 0.725).

=====

First-principles (PBE) data for a relaxed LiZn6Au crystal, as listed in the Open Quantum Materials Database.

As for the total energy: -1.75 eV/atom. Its crystal system is orthorhombic. The volume comes out at 117.4 Å³ per cell.

The structure belongs to space group Pmm2 (No. 25); the cell edges are 4.371, 5.541 and 4.847 Å and the angles 90.00°, 90.00° and 90.00°. Symmetry generates all atoms from Li at (0.000, 0.000, 0.000), Zn at (0.000, 0.241, 0.500), Zn at (0.000, 0.500, 0.032), Zn at (0.500, 0.000, 0.679), Zn at (0.500, 0.242, 0.174) and Au at (0.500, 0.500, 0.686).

=====

First-principles (PBE) data for a relaxed LiZnAu2 crystal, as listed in the Open Quantum Materials Database.

As for the total energy: -2.73 eV/atom. Its crystal system is hexagonal. The volume comes out at 136.3 Å³ per cell.

The structure belongs to space group P6_3/mmc (No. 194); the cell edges are 4.4505, 4.4505 and 7.9450 Å and the angles 90.00°, 90.00° and 120.00°. Symmetry generates all atoms from Li at (0.0000, 0.0000, 0.2500), Zn at (0.3333, 0.6667, 0.2500) and Au at (0.3333, 0.6667, 0.5797).

=====

First-principles (PBE) data for a relaxed LiZnAu2 crystal, as listed in the Open Quantum Materials Database.

As for the total energy: -2.78 eV/atom. Its crystal system is hexagonal. The volume comes out at 143.1 Å³ per cell.

The structure belongs to space group P6_3/mmc (No. 194); the cell edges are 4.4641, 4.4641 and 8.2918 Å and the angles 90.00°, 90.00° and 120.00°. Symmetry generates all atoms from Li at (0.3333, 0.6667, 0.2500), Zn at (0.0000, 0.0000, 0.0000) and Au at (0.3333, 0.6667, 0.5822).

=====

First-principles (PBE) data for a relaxed LiZnAu2 crystal, as listed in the Open Quantum Materials Database.

As for the total energy: -2.77 eV/atom. Its crystal system is cubic. The volume comes out at 260.2 Å³ per cell.

The structure belongs to space group F-43m (No. 216); the cell edges are 6.384, 6.384 and 6.384 Å and the angles 90.00°, 90.00° and 90.00°. Symmetry generates all atoms from Li at (0.000, 0.000, 0.000), Zn at (0.250, 0.250, 0.250), Au at (0.000, 0.000, 0.500) and Au at (0.250, 0.250, 0.750).

=====

First-principles (PBE) data for a relaxed LiZnAu2 crystal, as listed in the Open Quantum Materials Database.

As for the total energy: -2.85 eV/atom. Its crystal system is orthorhombic. The volume comes out at 249.6 Å³ per cell.

The structure belongs to space group Imma (No. 74); the cell edges are 6.136, 6.603 and 6.161 Å and the angles 90.00°, 90.00° and 90.00°. Symmetry generates all atoms from Li at (0.000, 0.250, 0.001), Zn at (0.000, 0.250, 0.499) and Au at (0.250, 0.001, 0.750).

=====

First-principles (PBE) data for a relaxed LiZnAu2 crystal, as listed in the Open Quantum Materials Database.

As for the total energy: -2.86 eV/atom. Its crystal system is tetragonal. The volume comes out at 124.6 Å³ per cell.

The structure belongs to space group I4/mmm (No. 139); the cell edges are 4.415, 4.415 and 6.390 Å and the angles 90.00°, 90.00° and 90.00°. Symmetry generates all atoms from Li at (0.000, 0.000, 0.000), Zn at (0.000, 0.000, 0.500) and Au at (0.000, 0.500, 0.250).